No. 1
# Li2YHo2Ga2

A relaxed Li2YHo2Ga2 crystal (PBE, Alexandria via LeMat-Bulk).

The value obtained for the spin magnetization is 0.0000 μB/atom. For the density of states at the Fermi level, the calculation gives 0.676 states/eV/atom. The value obtained for the formation enthalpy at 0 K is -0.29 eV per atom.

Cell and atoms, written as POSCAR:
```
Li2YHo2Ga2
1.0
4.5806 0.0000 0.0000
2.2903 3.9669 0.0000
2.2903 1.3223 8.7803
Ga Li Y Ho
2 2 1 2
Direct
0.2610 0.2610 0.2171
0.7390 0.7390 0.7829
0.3981 0.3981 0.8056
0.6019 0.6019 0.1944
0.0000 0.0000 0.0000
0.8735 0.8735 0.3795
0.1265 0.1265 0.6205
```

---

No. 2
# LiHoZnGa2

A relaxed LiHoZnGa2 crystal (PBE, Alexandria via LeMat-Bulk).

The value obtained for the spin magnetization is 0.0000 μB/atom. For the density of states at the Fermi level, the calculation gives 0.351 states/eV/atom. The value obtained for the formation enthalpy at 0 K is -0.42 eV per atom.

Cell and atoms, written as POSCAR:
```
LiHoZnGa2
1.0
-2.2304 0.1650 -3.4645
2.3571 -2.9495 -1.6580
-3.4075 -2.3894 4.5341
Ga Li Zn Ho
2 1 1 1
Direct
0.3872 0.3872 0.7745
0.6128 0.6128 0.2255
0.7500 0.2500 0.5000
0.2500 0.7500 0.5000
0.0000 0.0000 0.0000
```

---

No. 3
# LiHoZnGa

A relaxed LiHoZnGa crystal (PBE, Alexandria via LeMat-Bulk).

The value obtained for the spin magnetization is 0.0000 μB/atom. For the density of states at the Fermi level, the calculation gives 0.540 states/eV/atom. The value obtained for the formation enthalpy at 0 K is -0.38 eV per atom.

Cell and atoms, written as POSCAR:
```
LiHoZnGa
1.0
4.7688 0.0000 0.0000
2.3844 4.1299 0.0000
2.3844 1.3766 3.8937
Li Ga Zn Ho
1 1 1 1
Direct
0.2500 0.2500 0.2500
0.5000 0.5000 0.5000
0.0000 0.0000 0.0000
0.7500 0.7500 0.7500
```

---

No. 4
# HoLu2Ga

A relaxed HoLu2Ga crystal (PBE, Alexandria via LeMat-Bulk).

The value obtained for the spin magnetization is 0.0000 μB/atom. For the density of states at the Fermi level, the calculation gives 0.903 states/eV/atom. The value obtained for the formation enthalpy at 0 K is -0.29 eV per atom. As for the excess energy over the best structure of this formula in the dataset: 0.00 eV/f.u.

Cell and atoms, written as POSCAR:
```
HoLu2Ga
1.0
-1.8387 -2.7521 -1.0201
2.9328 -1.7703 -0.5102
-0.2913 -2.8493 8.2120
Ga Lu Ho
1 2 1
Direct
0.5000 0.5000 0.0000
0.0000 0.0000 0.7900
0.0000 0.0000 0.2100
0.5000 0.5000 0.5000
```

---

No. 5
# HoLuGa

A relaxed HoLuGa crystal (PBE, Alexandria via LeMat-Bulk).

The value obtained for the spin magnetization is 0.0000 μB/atom. For the density of states at the Fermi level, the calculation gives 0.807 states/eV/atom. The value obtained for the formation enthalpy at 0 K is -0.38 eV per atom. As for the excess energy over the best structure of this formula in the dataset: 0.00 eV/f.u.

Cell and atoms, written as POSCAR:
```
HoLuGa
1.0
3.4191 0.0000 0.0000
0.0000 3.4191 0.0000
-1.7096 -1.7096 6.4336
Ho Lu Ga
1 1 1
Direct
0.9688 0.9688 0.9376
0.2627 0.2627 0.5254
0.6185 0.6185 0.2370
```

---

No. 6
# HoLuGa2

A relaxed HoLuGa2 crystal (PBE, Alexandria via LeMat-Bulk).

The value obtained for the spin magnetization is 0.0000 μB/atom. For the density of states at the Fermi level, the calculation gives 0.488 states/eV/atom. The value obtained for the formation enthalpy at 0 K is -0.42 eV per atom.

Cell and atoms, written as POSCAR:
```
HoLuGa2
1.0
3.5784 0.0000 0.0000
1.7892 3.0990 0.0000
1.7892 1.0330 8.6593
Ho Ga Lu
1 2 1
Direct
0.5000 0.5000 0.5000
0.2510 0.2510 0.2469
0.7490 0.7490 0.7531
0.0000 0.0000 0.0000
```